First-principles (GGA-PBE) data for crystalline ScHgPd at its relaxed geometry, as listed in OQMD.

As for the total magnetization: 0.00 Bohr magnetons per cell. The value obtained for the volume is 113.0 Å³ per cell. The formation energy from the elements comes out at -682 meV per atom. The raw total energy is -4.62 eV per atom.

The structure belongs to space group I4mm (No. 107); the cell edges are 3.539, 3.539 and 9.021 Å and the angles 90.00°, 90.00° and 90.00°. Symmetry generates all atoms from Sc at (0.000, 0.000, 0.000), Hg at (0.000, 0.000, 0.676) and Pd at (0.000, 0.000, 0.351).